No. 1
AcErIrPb | PBE | relaxed

Energy of formation from the pure elements, eV per formula unit: -1.3
Final energy, eV for the cell shown: -22.52

Unit cell a=5.351 b=5.351 c=5.351 alpha=60.00 beta=60.00 gamma=60.00
Atoms (fractional coordinates):
Ac 0.000 0.000 0.000
Er 0.500 0.500 0.500
Ir 0.250 0.250 0.250
Pb 0.750 0.750 0.750


No. 2
CaMnCr2 | PBE | relaxed

Energy of formation from the pure elements, eV per formula unit: 3.8
Final energy, eV for the cell shown: -26.61
Energy relative to the lowest polymorph listed for this composition, meV/atom: 511

Unit cell a=5.263 b=5.263 c=2.625 alpha=100.27 beta=100.27 gamma=116.66
Atoms (fractional coordinates):
Ca 0.000 0.000 0.000
Mn 0.500 0.500 0.000
Cr 0.000 0.500 0.500
Cr 0.500 0.000 0.500


No. 3
Ac2Zn5Si | PBE | relaxed

Final energy, eV for the cell shown: -46.11
Uncorrected formation energy, meV per atom: -380

Unit cell a=8.683 b=8.683 c=9.080 alpha=90.00 beta=90.00 gamma=148.89
Atoms (fractional coordinates):
Ac 0.000 0.000 0.000
Ac 0.000 0.000 0.500
Ac 0.209 0.791 0.750
Ac 0.791 0.209 0.250
Zn 0.183 0.817 0.108
Zn 0.183 0.817 0.392
Zn 0.351 0.649 0.019
Zn 0.351 0.649 0.481
Zn 0.411 0.589 0.750
Zn 0.589 0.411 0.250
Zn 0.649 0.351 0.519
Zn 0.649 0.351 0.981
Zn 0.817 0.183 0.608
Zn 0.817 0.183 0.892
Si 0.439 0.561 0.250
Si 0.561 0.439 0.750


Repeat the first record exactly.
AcErIrPb | PBE | relaxed

Energy of formation from the pure elements, eV per formula unit: -1.3
Final energy, eV for the cell shown: -22.52

Unit cell a=5.351 b=5.351 c=5.351 alpha=60.00 beta=60.00 gamma=60.00
Atoms (fractional coordinates):
Ac 0.000 0.000 0.000
Er 0.500 0.500 0.500
Ir 0.250 0.250 0.250
Pb 0.750 0.750 0.750